(1)
TePIrI2: single point on PBEsol structure, SCAN.

## Properties
Space-group type = P4/mmm (123)

Geometry as POSCAR:
```
TePIrI2
1.0
5.179 0.000 0.000
0.000 5.179 0.000
0.000 0.000 5.140
I Te P Ir
2 1 1 1
Direct
0.500 0.000 0.000 I
0.000 0.500 0.000 I
0.000 0.000 0.500 Te
0.000 0.000 0.000 P
0.500 0.500 0.500 Ir
```


(2)
SbIrPdI2: single point on PBEsol structure, SCAN.

## Properties
Space-group type = P4/mmm (123)

Geometry as POSCAR:
```
SbIrPdI2
1.0
5.130 0.000 0.000
0.000 5.195 0.000
0.000 0.000 5.195
Sb Ir Pd I
1 1 1 2
Direct
0.500 0.000 0.000 Sb
0.500 0.500 0.500 Ir
0.000 0.000 0.000 Pd
0.000 0.000 0.500 I
0.000 0.500 0.000 I
```


(3)
Sb2IrPdI: single point on PBEsol structure, SCAN.

## Properties
Space-group type = P4/mmm (123)

Geometry as POSCAR:
```
Sb2IrPdI
1.0
5.007 0.000 0.000
0.000 5.007 0.000
0.000 0.000 5.168
I Sb Ir Pd
1 2 1 1
Direct
0.000 0.000 0.500 I
0.500 0.000 0.000 Sb
0.000 0.500 0.000 Sb
0.500 0.500 0.500 Ir
0.000 0.000 0.000 Pd
```


(4)
TeIrPdI2: single point on PBEsol structure, SCAN.

## Properties
Space-group type = P4/mmm (123)

Geometry as POSCAR:
```
TeIrPdI2
1.0
4.938 0.000 0.000
0.000 5.455 0.000
0.000 0.000 5.455
I Ir Te Pd
2 1 1 1
Direct
0.000 0.000 0.500 I
0.000 0.500 0.000 I
0.000 0.000 0.000 Ir
0.500 0.000 0.000 Te
0.500 0.500 0.500 Pd
```


Table of ΔE_f (raw) (meV per atom), in record order: 1471 1268 1222 775
Table of final energy (eV/atom), in record order: -36.9756 -41.6552 -41.8052 -42.1462
Table of density (g/cm³), in record order: 7.3 8.1 8.6 7.7